Computed, not measured: an optimized crystal structure of Dy2TmTe at the PBE level of DFT. Values from VASP.

Geometry as Quantum ESPRESSO input:
```
&SYSTEM
  ibrav = 0, nat = 4, ntyp = 3
/
ATOMIC_SPECIES
Dy 162.50 Dy.upf
Tm 168.93 Tm.upf
Te 127.60 Te.upf
CELL_PARAMETERS angstrom
1.915 1.106 9.876
-1.915 1.106 9.876
0.000 -2.211 9.876
ATOMIC_POSITIONS angstrom
Dy 0.000 0.000 7.092
Dy 0.000 0.000 22.535
Tm 0.000 0.000 0.000
Te 0.000 0.000 14.814
```

Calculated density = 8227 kg/m³
Crystal system = trigonal
Energy relative to the lowest polymorph listed for this composition = 0.132 eV per atom
Formation energy from raw total energies = -0.507 eV per atom

=====

Computed, not measured: an optimized crystal structure of DyTmTe2 at the PBE level of DFT. Values from VASP.

Geometry as Quantum ESPRESSO input:
```
&SYSTEM
  ibrav = 0, nat = 4, ntyp = 3
/
ATOMIC_SPECIES
Dy 162.50 Dy.upf
Tm 168.93 Tm.upf
Te 127.60 Te.upf
CELL_PARAMETERS angstrom
2.087 1.205 7.619
-2.087 1.205 7.619
0.000 -2.409 7.619
ATOMIC_POSITIONS angstrom
Dy 0.000 0.000 0.000
Tm 0.000 0.000 3.952
Te 0.000 0.000 13.349
Te 0.000 0.000 17.264
```

Calculated density = 8477 kg/m³
Crystal system = trigonal
Energy relative to the lowest polymorph listed for this composition = 0.000 eV per atom
Formation energy from raw total energies = -1.261 eV per atom

=====

Computed, not measured: an optimized crystal structure of DyTm2Te3 at the PBE level of DFT. Values from VASP.

Geometry as Quantum ESPRESSO input:
```
&SYSTEM
  ibrav = 0, nat = 6, ntyp = 3
/
ATOMIC_SPECIES
Dy 162.50 Dy.upf
Tm 168.93 Tm.upf
Te 127.60 Te.upf
CELL_PARAMETERS angstrom
-2.174 3.041 6.459
2.174 -3.041 6.459
2.174 3.041 -6.459
ATOMIC_POSITIONS angstrom
Dy 0.000 0.000 0.000
Tm 0.000 0.000 4.378
Tm 0.000 0.000 8.539
Te 2.174 0.000 2.210
Te 0.000 3.041 0.000
Te 0.000 3.041 4.249
```

Calculated density = 8588 kg/m³
Crystal system = orthorhombic
Energy relative to the lowest polymorph listed for this composition = 0.029 eV per atom
Formation energy from raw total energies = -1.204 eV per atom

=====

Computed, not measured: an optimized crystal structure of DyTmTe at the PBE level of DFT. Values from VASP.

Geometry as Quantum ESPRESSO input:
```
&SYSTEM
  ibrav = 0, nat = 18, ntyp = 3
/
ATOMIC_SPECIES
Dy 162.50 Dy.upf
Tm 168.93 Tm.upf
Te 127.60 Te.upf
CELL_PARAMETERS angstrom
8.402 0.000 0.000
0.000 4.000 0.000
-0.209 0.000 14.749
ATOMIC_POSITIONS angstrom
Dy 0.240 1.000 4.278
Dy 2.814 3.000 13.378
Dy 3.715 3.000 9.028
Dy 4.479 1.000 5.722
Dy 5.379 1.000 1.371
Dy 7.953 3.000 10.471
Tm -0.156 1.000 13.336
Tm 1.026 1.000 8.073
Tm 2.984 3.000 3.060
Tm 5.210 1.000 11.689
Tm 7.168 3.000 6.676
Tm 8.350 3.000 1.413
Te 2.104 3.000 6.028
Te 2.101 1.000 11.028
Te 2.276 1.000 0.843
Te 5.917 3.000 13.906
Te 6.093 3.000 3.721
Te 6.089 1.000 8.721
```

Calculated density = 9226 kg/m³
Crystal system = monoclinic
Energy relative to the lowest polymorph listed for this composition = 0.000 eV per atom
Formation energy from raw total energies = -0.820 eV per atom

=====

Computed, not measured: an optimized crystal structure of Dy3TmTe6 at the PBE level of DFT. Values from VASP.

Geometry as Quantum ESPRESSO input:
```
&SYSTEM
  ibrav = 0, nat = 20, ntyp = 3
/
ATOMIC_SPECIES
Dy 162.50 Dy.upf
Tm 168.93 Tm.upf
Te 127.60 Te.upf
CELL_PARAMETERS angstrom
6.382 3.684 5.145
-6.382 3.684 5.145
0.000 -7.369 5.145
ATOMIC_POSITIONS angstrom
Dy -4.263 -1.278 7.199
Dy -1.025 -4.331 8.237
Dy -3.238 3.054 8.237
Dy 3.238 -3.054 7.199
Dy 1.025 4.331 7.199
Dy 4.263 1.278 8.237
Tm 0.000 0.000 0.000
Tm 0.000 0.000 7.718
Te -4.093 -4.062 8.394
Te -5.565 1.514 7.042
Te -1.424 -2.124 6.081
Te 1.471 -5.576 7.042
Te -1.128 2.295 6.081
Te -2.551 0.171 9.355
Te 2.551 -0.171 6.081
Te 1.128 -2.295 9.355
Te -1.471 5.576 8.394
Te 1.424 2.124 9.355
Te 5.565 -1.514 8.394
Te 4.093 4.062 7.042
```

Calculated density = 6506 kg/m³
Crystal system = trigonal
Energy relative to the lowest polymorph listed for this composition = 0.008 eV per atom
Formation energy from raw total energies = -1.328 eV per atom

=====

Computed, not measured: an optimized crystal structure of Dy2TmTe4 at the PBE level of DFT. Values from VASP.

Geometry as Quantum ESPRESSO input:
```
&SYSTEM
  ibrav = 0, nat = 14, ntyp = 3
/
ATOMIC_SPECIES
Dy 162.50 Dy.upf
Tm 168.93 Tm.upf
Te 127.60 Te.upf
CELL_PARAMETERS angstrom
2.104 -7.148 0.000
2.104 7.148 0.000
0.000 0.000 14.929
ATOMIC_POSITIONS angstrom
Dy 2.104 5.273 8.509
Dy 2.104 5.273 13.884
Dy 2.104 -5.273 1.045
Dy 2.104 -5.273 6.420
Tm 2.104 1.844 11.197
Tm 2.104 -1.844 3.732
Te 2.104 6.756 11.197
Te 2.104 4.005 1.838
Te 2.104 4.005 5.626
Te 2.104 0.000 0.000
Te 2.104 0.000 7.464
Te 2.104 -4.005 9.302
Te 2.104 -4.005 13.091
Te 2.104 -6.756 3.732
```

Calculated density = 7429 kg/m³
Crystal system = orthorhombic
Energy relative to the lowest polymorph listed for this composition = 0.053 eV per atom
Formation energy from raw total energies = -1.311 eV per atom

=====

Computed, not measured: an optimized crystal structure of Dy3TmTe6 at the PBE level of DFT. Values from VASP.

Geometry as Quantum ESPRESSO input:
```
&SYSTEM
  ibrav = 0, nat = 20, ntyp = 3
/
ATOMIC_SPECIES
Dy 162.50 Dy.upf
Tm 168.93 Tm.upf
Te 127.60 Te.upf
CELL_PARAMETERS angstrom
7.305 0.000 0.000
0.000 8.033 0.000
-7.242 0.000 11.151
ATOMIC_POSITIONS angstrom
Dy 0.000 0.000 0.000
Dy -3.621 4.017 5.575
Dy -3.217 0.974 8.379
Dy 0.404 3.043 2.804
Dy -0.341 4.991 8.347
Dy 3.280 7.059 2.772
Tm 0.031 0.000 5.575
Tm 3.652 4.017 0.000
Te -1.196 0.416 2.809
Te -4.817 3.600 8.385
Te 1.202 5.410 0.911
Te -2.419 6.640 6.487
Te 2.481 1.413 0.904
Te -1.140 2.603 6.480
Te 1.203 5.430 4.671
Te -2.418 6.620 10.246
Te 2.481 1.394 4.664
Te -1.140 2.623 10.240
Te 4.880 4.433 2.766
Te 1.259 7.617 8.342
```

Calculated density = 7218 kg/m³
Crystal system = monoclinic
Energy relative to the lowest polymorph listed for this composition = 0.000 eV per atom
Formation energy from raw total energies = -1.336 eV per atom

=====

Computed, not measured: an optimized crystal structure of DyTmTe at the PBE level of DFT. Values from VASP.

Geometry as Quantum ESPRESSO input:
```
&SYSTEM
  ibrav = 0, nat = 3, ntyp = 3
/
ATOMIC_SPECIES
Dy 162.50 Dy.upf
Tm 168.93 Tm.upf
Te 127.60 Te.upf
CELL_PARAMETERS angstrom
5.126 0.000 0.000
-2.563 4.439 0.000
0.000 0.000 3.927
ATOMIC_POSITIONS angstrom
Dy 0.000 0.000 0.000
Tm 2.563 1.480 1.940
Te 0.000 2.959 1.072
```

Calculated density = 8530 kg/m³
Crystal system = trigonal
Energy relative to the lowest polymorph listed for this composition = 0.364 eV per atom
Formation energy from raw total energies = -0.457 eV per atom

=====

Computed, not measured: an optimized crystal structure of DyTmTe2 at the PBE level of DFT. Values from VASP.

Geometry as Quantum ESPRESSO input:
```
&SYSTEM
  ibrav = 0, nat = 4, ntyp = 3
/
ATOMIC_SPECIES
Dy 162.50 Dy.upf
Tm 168.93 Tm.upf
Te 127.60 Te.upf
CELL_PARAMETERS angstrom
5.321 0.000 0.000
0.000 5.321 0.000
0.000 0.000 3.761
ATOMIC_POSITIONS angstrom
Dy 0.000 0.000 0.000
Tm 2.660 2.660 0.000
Te 0.000 2.660 1.881
Te 2.660 0.000 1.881
```

Calculated density = 9148 kg/m³
Crystal system = tetragonal
Energy relative to the lowest polymorph listed for this composition = 0.149 eV per atom
Formation energy from raw total energies = -1.111 eV per atom

=====

Computed, not measured: an optimized crystal structure of Dy2TmTe4 at the PBE level of DFT. Values from VASP.

Geometry as Quantum ESPRESSO input:
```
&SYSTEM
  ibrav = 0, nat = 7, ntyp = 3
/
ATOMIC_SPECIES
Dy 162.50 Dy.upf
Tm 168.93 Tm.upf
Te 127.60 Te.upf
CELL_PARAMETERS angstrom
8.070 -2.162 0.000
8.070 2.162 0.000
-3.497 0.000 6.686
ATOMIC_POSITIONS angstrom
Dy 3.134 0.000 1.534
Dy 9.510 0.000 5.152
Tm 6.322 0.000 3.343
Te 0.423 0.000 3.101
Te 5.982 0.000 0.339
Te 6.661 0.000 6.347
Te 12.221 0.000 3.585
```

Calculated density = 7149 kg/m³
Crystal system = monoclinic
Energy relative to the lowest polymorph listed for this composition = 0.000 eV per atom
Formation energy from raw total energies = -1.364 eV per atom

=====

Computed, not measured: an optimized crystal structure of DyTmTe at the PBE level of DFT. Values from VASP.

Geometry as Quantum ESPRESSO input:
```
&SYSTEM
  ibrav = 0, nat = 12, ntyp = 3
/
ATOMIC_SPECIES
Dy 162.50 Dy.upf
Tm 168.93 Tm.upf
Te 127.60 Te.upf
CELL_PARAMETERS angstrom
6.099 0.000 0.000
0.867 6.259 0.000
0.904 2.022 8.928
ATOMIC_POSITIONS angstrom
Dy 1.241 1.106 1.120
Dy 2.701 1.634 6.828
Dy 5.169 6.647 2.100
Dy 6.629 7.175 7.808
Tm 2.227 5.735 4.219
Tm 2.620 4.187 1.031
Tm 5.250 4.094 7.896
Tm 5.643 2.546 4.708
Te 2.279 4.746 7.253
Te 2.535 2.528 3.766
Te 5.335 5.753 5.162
Te 5.591 3.536 1.675
```

Calculated density = 8946 kg/m³
Crystal system = triclinic
Energy relative to the lowest polymorph listed for this composition = 0.043 eV per atom
Formation energy from raw total energies = -0.777 eV per atom

=====

Computed, not measured: an optimized crystal structure of Dy2Tm3Te2 at the PBE level of DFT. Values from VASP.

Geometry as Quantum ESPRESSO input:
```
&SYSTEM
  ibrav = 0, nat = 7, ntyp = 3
/
ATOMIC_SPECIES
Dy 162.50 Dy.upf
Tm 168.93 Tm.upf
Te 127.60 Te.upf
CELL_PARAMETERS angstrom
6.413 -1.976 0.000
6.413 1.976 0.000
-3.097 0.000 7.892
ATOMIC_POSITIONS angstrom
Dy 0.805 0.000 2.334
Dy 8.923 0.000 5.558
Tm 4.731 0.000 0.434
Tm 4.864 0.000 3.946
Tm 4.997 0.000 7.458
Te 0.114 0.000 5.574
Te 9.615 0.000 2.318
```

Calculated density = 9023 kg/m³
Crystal system = monoclinic
Formation energy from raw total energies = -0.674 eV per atom

=====

Q: Among the records above, which one has the lowest calculated density?
A: number 5